#a
An optimized crystal structure of LiZn6. Source: Alexandria via LeMat-Bulk, functional PBE-GGA.

```
data_LiZn6
_chemical_formula_sum 'Li1 Zn6'
_cell_length_a 6.0975
_cell_length_b 6.0975
_cell_length_c 6.0975
_cell_angle_alpha 90.00
_cell_angle_beta 90.00
_cell_angle_gamma 90.00
_space_group_name_H-M_alt 'P m -3 m'
_space_group_IT_number 221
_space_group_name_Hall '-P 4 2 3'
loop_
_atom_site_label
_atom_site_type_symbol
_atom_site_fract_x
_atom_site_fract_y
_atom_site_fract_z
Li1 Li 0.0000 0.0000 0.0000
Zn1 Zn 0.1954 0.5000 0.5000
```

Results
Magnetization = 0.0 μB/cell
Volume = 32.39 Å³/atom

#b
An optimized crystal structure of LiZn6. Source: Alexandria via LeMat-Bulk, functional PBE-GGA.

```
data_LiZn6
_chemical_formula_sum 'Li2 Zn12'
_cell_length_a 6.9938
_cell_length_b 6.9938
_cell_length_c 6.9938
_cell_angle_alpha 90.00
_cell_angle_beta 90.00
_cell_angle_gamma 90.00
_space_group_name_H-M_alt 'I m -3 m'
_space_group_IT_number 229
_space_group_name_Hall '-I 4 2 3'
loop_
_atom_site_label
_atom_site_type_symbol
_atom_site_fract_x
_atom_site_fract_y
_atom_site_fract_z
Li1 Li 0.0000 0.0000 0.0000
Zn1 Zn 0.0000 0.2500 0.5000
```

Results
Magnetization = 0.0 μB/cell
Volume = 24.44 Å³/atom

Relative energies, in meV/atom, with the most stable structure set to zero: #a 127; #b 0.

#a
An optimized crystal structure of Li4Zn3. Source: Alexandria via LeMat-Bulk, functional PBE-GGA.

```
data_Li4Zn3
_chemical_formula_sum 'Li8 Zn6'
_cell_length_a 7.4766
_cell_length_b 7.4766
_cell_length_c 4.5030
_cell_angle_alpha 90.00
_cell_angle_beta 90.00
_cell_angle_gamma 120.00
_space_group_name_H-M_alt 'P 63/m'
_space_group_IT_number 176
_space_group_name_Hall '-P 6c'
loop_
_atom_site_label
_atom_site_type_symbol
_atom_site_fract_x
_atom_site_fract_y
_atom_site_fract_z
Li1 Li 0.0818 0.4522 0.2500
Li2 Li 0.3333 0.6667 0.7500
Zn1 Zn 0.0368 0.2321 0.7500
```

Results
Magnetization = 0.0 μB/cell
Volume = 15.57 Å³/atom

#b
An optimized crystal structure of Li4Zn3. Source: Alexandria via LeMat-Bulk, functional PBE-GGA.

```
data_Li4Zn3
_chemical_formula_sum 'Li8 Zn6'
_cell_length_a 2.8183
_cell_length_b 3.7822
_cell_length_c 20.0636
_cell_angle_alpha 90.00
_cell_angle_beta 90.00
_cell_angle_gamma 90.00
_space_group_name_H-M_alt 'I m m m'
_space_group_IT_number 71
_space_group_name_Hall '-I 2 2'
loop_
_atom_site_label
_atom_site_type_symbol
_atom_site_fract_x
_atom_site_fract_y
_atom_site_fract_z
Li1 Li 0.0000 0.0000 0.0712
Li2 Li 0.0000 0.0000 0.2109
Zn1 Zn 0.0000 0.0000 0.3577
Zn2 Zn 0.0000 0.0000 0.5000
```

Results
Magnetization = 0.0 μB/cell
Volume = 15.28 Å³/atom

#c
An optimized crystal structure of Li4Zn3. Source: Alexandria via LeMat-Bulk, functional PBE-GGA.

```
data_Li4Zn3
_chemical_formula_sum 'Li4 Zn3'
_cell_length_a 5.1123
_cell_length_b 5.1123
_cell_length_c 5.0257
_cell_angle_alpha 90.00
_cell_angle_beta 90.00
_cell_angle_gamma 120.00
_space_group_name_H-M_alt 'P 6/m m m'
_space_group_IT_number 191
_space_group_name_Hall '-P 6 2'
loop_
_atom_site_label
_atom_site_type_symbol
_atom_site_fract_x
_atom_site_fract_y
_atom_site_fract_z
Li1 Li 0.0000 0.0000 0.2422
Li2 Li 0.3333 0.6667 0.5000
Zn1 Zn 0.0000 0.5000 0.0000
```

Results
Magnetization = 0.0 μB/cell
Volume = 16.25 Å³/atom

Relative energies, in meV/atom, with the most stable structure set to zero: #a 44; #b 16; #c 0.

#a
An optimized crystal structure of LiZn4. Source: Alexandria via LeMat-Bulk, functional PBE-GGA.

```
data_LiZn4
_chemical_formula_sum 'Li1 Zn4'
_cell_length_a 4.4839
_cell_length_b 4.4839
_cell_length_c 4.4839
_cell_angle_alpha 90.00
_cell_angle_beta 90.00
_cell_angle_gamma 90.00
_space_group_name_H-M_alt 'P m -3 m'
_space_group_IT_number 221
_space_group_name_Hall '-P 4 2 3'
loop_
_atom_site_label
_atom_site_type_symbol
_atom_site_fract_x
_atom_site_fract_y
_atom_site_fract_z
Li1 Li 0.0000 0.0000 0.0000
Zn1 Zn 0.0000 0.0000 0.5000
Zn2 Zn 0.5000 0.5000 0.5000
```

Results
Magnetization = 0.0 μB/cell
Volume = 18.03 Å³/atom

#b
An optimized crystal structure of LiZn4. Source: Alexandria via LeMat-Bulk, functional PBE-GGA.

```
data_LiZn4
_chemical_formula_sum 'Li2 Zn8'
_cell_length_a 3.6843
_cell_length_b 3.6843
_cell_length_c 12.5248
_cell_angle_alpha 90.00
_cell_angle_beta 90.00
_cell_angle_gamma 90.00
_space_group_name_H-M_alt 'I 4/m m m'
_space_group_IT_number 139
_space_group_name_Hall '-I 4 2'
loop_
_atom_site_label
_atom_site_type_symbol
_atom_site_fract_x
_atom_site_fract_y
_atom_site_fract_z
Li1 Li 0.0000 0.0000 0.0000
Zn1 Zn 0.0000 0.0000 0.4022
Zn2 Zn 0.0000 0.5000 0.2500
```

Results
Magnetization = 0.0 μB/cell
Volume = 17.00 Å³/atom

Relative energies, in meV/atom, with the most stable structure set to zero: #a 471; #b 0.

#a
An optimized crystal structure of Li4Zn. Source: Alexandria via LeMat-Bulk, functional PBE-GGA.

```
data_Li4Zn
_chemical_formula_sum 'Li8 Zn2'
_cell_length_a 6.0624
_cell_length_b 6.0624
_cell_length_c 6.0624
_cell_angle_alpha 90.00
_cell_angle_beta 90.00
_cell_angle_gamma 90.00
_space_group_name_H-M_alt 'I m -3 m'
_space_group_IT_number 229
_space_group_name_Hall '-I 4 2 3'
loop_
_atom_site_label
_atom_site_type_symbol
_atom_site_fract_x
_atom_site_fract_y
_atom_site_fract_z
Li1 Li 0.2500 0.2500 0.2500
Zn1 Zn 0.0000 0.0000 0.0000
```

Results
Magnetization = 0.0 μB/cell
Volume = 22.28 Å³/atom

#b
An optimized crystal structure of Li4Zn. Source: Alexandria via LeMat-Bulk, functional PBE-GGA.

```
data_Li4Zn
_chemical_formula_sum 'Li8 Zn2'
_cell_length_a 6.4896
_cell_length_b 6.4896
_cell_length_c 4.0306
_cell_angle_alpha 90.00
_cell_angle_beta 90.00
_cell_angle_gamma 90.00
_space_group_name_H-M_alt 'I 4/m'
_space_group_IT_number 87
_space_group_name_Hall '-I 4'
loop_
_atom_site_label
_atom_site_type_symbol
_atom_site_fract_x
_atom_site_fract_y
_atom_site_fract_z
Li1 Li 0.1038 0.2902 0.0000
Zn1 Zn 0.0000 0.0000 0.5000
```

Results
Magnetization = 0.0 μB/cell
Volume = 16.98 Å³/atom

#c
An optimized crystal structure of Li4Zn. Source: Alexandria via LeMat-Bulk, functional PBE-GGA.

```
data_Li4Zn
_chemical_formula_sum 'Li4 Zn1'
_cell_length_a 4.8964
_cell_length_b 4.8964
_cell_length_c 4.8964
_cell_angle_alpha 90.00
_cell_angle_beta 90.00
_cell_angle_gamma 90.00
_space_group_name_H-M_alt 'P m -3 m'
_space_group_IT_number 221
_space_group_name_Hall '-P 4 2 3'
loop_
_atom_site_label
_atom_site_type_symbol
_atom_site_fract_x
_atom_site_fract_y
_atom_site_fract_z
Li1 Li 0.0000 0.0000 0.0000
Li2 Li 0.0000 0.5000 0.5000
Zn1 Zn 0.5000 0.5000 0.5000
```

Results
Magnetization = 0.0 μB/cell
Volume = 23.48 Å³/atom

Relative energies, in meV/atom, with the most stable structure set to zero: #a 209; #b 0; #c 224.

#a
An optimized crystal structure of Li4Zn5. Source: Alexandria via LeMat-Bulk, functional PBE-GGA.

```
data_Li4Zn5
_chemical_formula_sum 'Li8 Zn10'
_cell_length_a 8.3475
_cell_length_b 8.3475
_cell_length_c 3.9093
_cell_angle_alpha 90.00
_cell_angle_beta 90.00
_cell_angle_gamma 90.00
_space_group_name_H-M_alt 'I 4/m m m'
_space_group_IT_number 139
_space_group_name_Hall '-I 4 2'
loop_
_atom_site_label
_atom_site_type_symbol
_atom_site_fract_x
_atom_site_fract_y
_atom_site_fract_z
Li1 Li 0.0000 0.3190 0.0000
Zn1 Zn 0.0000 0.0000 0.0000
Zn2 Zn 0.1648 0.1648 0.5000
```

Results
Magnetization = 0.0 μB/cell
Volume = 15.13 Å³/atom

#b
An optimized crystal structure of Li4Zn5. Source: Alexandria via LeMat-Bulk, functional PBE-GGA.

```
data_Li4Zn5
_chemical_formula_sum 'Li8 Zn10'
_cell_length_a 7.4626
_cell_length_b 4.3607
_cell_length_c 8.0296
_cell_angle_alpha 90.00
_cell_angle_beta 90.79
_cell_angle_gamma 90.00
_space_group_name_H-M_alt 'C 1 2/m 1'
_space_group_IT_number 12
loop_
_space_group_symop_operation_xyz
'x,y,z'
'-x,-y,-z'
'-x,y,-z'
'x,-y,z'
'x+1/2,y+1/2,z'
'-x+1/2,-y+1/2,-z'
'-x+1/2,y+1/2,-z'
'x+1/2,-y+1/2,z'
loop_
_atom_site_label
_atom_site_type_symbol
_atom_site_fract_x
_atom_site_fract_y
_atom_site_fract_z
Li1 Li 0.0007 0.0000 0.1647
Li2 Li 0.1671 0.5000 0.2768
Zn1 Zn 0.0000 0.0000 0.5000
Zn2 Zn 0.1663 0.5000 0.6107
Zn3 Zn 0.1660 0.5000 0.9431
```

Results
Magnetization = 0.0 μB/cell
Volume = 14.52 Å³/atom

Relative energies, in meV/atom, with the most stable structure set to zero: #a 47; #b 0.